# 1
Density functional theory data (GGA-PBE) for a relaxed structure of NaMgBe2F8.

Properties
Its symmetry is C2/m (12). The formation energy (no corrections) is -2953 meV/atom.

Geometry as POSCAR:
```
NaMgBe2F8
1.0
4.937 -0.095 -0.157
2.193 4.424 -0.157
0.087 0.053 6.751
Na Mg Be F
1 1 2 8
Direct
0.000 0.000 0.500 Na
0.000 0.000 0.000 Mg
0.642 0.642 0.236 Be
0.358 0.358 0.764 Be
0.705 0.218 0.784 F
0.770 0.770 0.072 F
0.723 0.723 0.449 F
0.277 0.277 0.551 F
0.230 0.230 0.928 F
0.218 0.705 0.784 F
0.782 0.295 0.216 F
0.295 0.782 0.216 F
```

=====

# 2
Density functional theory data (GGA-PBE) for a relaxed structure of TePb3Au.

Properties
Its symmetry is Pm-3m (221). For the energy relative to the lowest polymorph listed for this composition, the calculation gives 0.000 eV/atom. The formation energy (no corrections) is 161 meV/atom.

Geometry as POSCAR:
```
TePb3Au
1.0
5.582 0.000 0.000
0.000 5.582 0.000
0.000 0.000 5.582
Pb Te Au
3 1 1
Direct
0.000 0.500 0.000 Pb
0.000 0.000 0.500 Pb
0.500 0.000 0.000 Pb
0.500 0.500 0.500 Te
0.000 0.000 0.000 Au
```